Entry a
The following is a DFT calculation (PBE) of crystalline BaSeS2N at its relaxed geometry. Values from VASP.

Geometry as Quantum ESPRESSO input:
```
&SYSTEM
  ibrav = 0, nat = 5, ntyp = 4
/
ATOMIC_SPECIES
S 32.06 S.upf
Ba 137.33 Ba.upf
Se 78.96 Se.upf
N 14.01 N.upf
ATOMIC_POSITIONS angstrom
S -1.8226 1.1281 2.1781
S -2.4325 -1.1801 -1.4244
Ba 0.0000 0.0000 0.0000
Se -3.9783 -2.3208 2.1606
N 0.2769 -2.2688 1.4069
CELL_PARAMETERS angstrom
-3.6453 2.2563 4.3561
-4.8651 -2.3602 -2.8487
0.5538 -4.5377 2.8137
```

Entry b
The following is a DFT calculation (PBE) of crystalline BaSeS2N at its relaxed geometry. Values from VASP.

Geometry as Quantum ESPRESSO input:
```
&SYSTEM
  ibrav = 0, nat = 5, ntyp = 4
/
ATOMIC_SPECIES
S 32.06 S.upf
Ba 137.33 Ba.upf
N 14.01 N.upf
Se 78.96 Se.upf
ATOMIC_POSITIONS angstrom
S -1.3858 1.7937 -1.2156
S -0.7983 -1.7640 -1.6930
Ba -3.7688 -0.3911 -1.7229
N -1.5847 -0.4208 1.1857
Se 0.0000 0.0000 0.0000
CELL_PARAMETERS angstrom
-2.7715 3.5874 -2.4311
-1.5965 -3.5281 -3.3860
-3.1695 -0.8416 2.3714
```

Result of the stability comparison: entry b is the most stable of them.